Record 1
## AlNiSe4 (PBE)

Data for an optimized crystal structure of AlNiSe4.

a = 8.011 Å, b = 8.011 Å, c = 8.011 Å
α = 90.00°, β = 90.00°, γ = 90.00°
Space group F-43m (No. 216)
Inequivalent atoms, fractional coordinates:
Al (0.000, 0.000, 0.000) [4 per cell]
Ni (0.250, 0.250, 0.750) [4 per cell]
Se (0.124, 0.124, 0.376) [16 per cell]

Output
energy relative to the elements, uncorrected: 795 meV/atom
ρ: 5.2 g cm⁻³
calculated total energy: -3.115 eV per atom

Record 2
## CeNp2Si6 (PBE)

Data for an optimized crystal structure of CeNp2Si6.

a = 7.0154 Å, b = 7.0154 Å, c = 3.9368 Å
α = 90.00°, β = 90.00°, γ = 120.00°
Space group P6/mmm (No. 191)
Inequivalent atoms, fractional coordinates:
Ce (0.0000, 0.0000, 0.0000) [1 per cell]
Np (0.3333, 0.6667, 0.0000) [2 per cell]
Si (0.0000, 0.3349, 0.5000) [6 per cell]

Output
energy relative to the elements, uncorrected: -387 meV/atom
ρ: 7.7 g cm⁻³
calculated total energy: -7.537 eV per atom

Record 3
## Nb2Rh2F (PBE)

Data for an optimized crystal structure of Nb2Rh2F.

a = 3.686 Å, b = 3.686 Å, c = 13.317 Å
α = 90.00°, β = 90.00°, γ = 90.00°
Space group I4/mmm (No. 139)
Inequivalent atoms, fractional coordinates:
Nb (0.000, 0.000, 0.113) [4 per cell]
Rh (0.000, 0.500, 0.250) [4 per cell]
F (0.000, 0.000, 0.500) [2 per cell]

Output
energy relative to the elements, uncorrected: -8 meV/atom
distance to the lowest polymorph of the same formula: 430.2 meV/atom
ρ: 7.5 g cm⁻³
calculated total energy: -7.351 eV per atom

Record 4
## PdSe2Cl6 (PBE)

Data for an optimized crystal structure of PdSe2Cl6.

a = 17.807 Å, b = 8.742 Å, c = 7.749 Å
α = 90.00°, β = 100.27°, γ = 90.00°
Space group C2/c (No. 15)
Inequivalent atoms, fractional coordinates:
Pd (0.000, 0.161, 0.250) [4 per cell]
Se (0.098, 0.165, 0.068) [8 per cell]
Cl (0.072, 0.163, 0.533) [8 per cell]
Cl (0.109, 0.417, 0.055) [8 per cell]
Cl (0.208, 0.114, 0.232) [8 per cell]

Output
energy relative to the elements, uncorrected: -376 meV/atom
ρ: 2.7 g cm⁻³
calculated total energy: -2.959 eV per atom

Record 5
## Sr4Se2SBr (PBE)

Data for an optimized crystal structure of Sr4Se2SBr.

a = 7.588 Å, b = 4.408 Å, c = 7.653 Å
α = 90.00°, β = 109.43°, γ = 90.00°
Space group P2/m (No. 10)
Inequivalent atoms, fractional coordinates:
Sr (0.241, 0.000, 0.234) [2 per cell]
Sr (0.251, 0.500, 0.763) [2 per cell]
Se (0.000, 0.000, 0.500) [1 per cell]
Se (0.000, 0.500, 0.000) [1 per cell]
S (0.500, 0.000, 0.000) [1 per cell]
Br (0.500, 0.500, 0.500) [1 per cell]

Output
energy relative to the elements, uncorrected: -1920 meV/atom
ρ: 4.3 g cm⁻³
calculated total energy: -4.357 eV per atom

Record 6
## KSc2Re2 (PBE)

Data for an optimized crystal structure of KSc2Re2.

a = 8.823 Å, b = 8.823 Å, c = 2.729 Å
α = 90.00°, β = 90.00°, γ = 90.00°
Space group P4/mbm (No. 127)
Inequivalent atoms, fractional coordinates:
K (0.000, 0.000, 0.000) [2 per cell]
Sc (0.142, 0.358, 0.500) [4 per cell]
Re (0.143, 0.643, 0.000) [4 per cell]

Output
distance to the lowest polymorph of the same formula: 0.0 meV/atom
DFT formation energy: 0.562 eV per atom
ρ: 7.8 g cm⁻³
calculated total energy: -7.169 eV per atom